Entry 1:
This record from the Alexandria database describes a relaxed structure of K2NpF5. The functional is GGA-PBE.

**Distance to the lowest polymorph of the same formula**: 111.1 meV/atom
**Total moment**: 0.500 μB/atom

Cell: 6.8480 6.8446 7.3279 Å, 123.70 104.13 98.40°
With the nearest neighbours (Å) after each atom.
Positions (direct):
1 K 0.6194 0.2081 0.2804  5 F 2.65-2.70
2 K 0.0725 0.6617 0.2811  5 F 2.65-2.70
3 Np 0.0021 0.9641 0.9662  5 F 2.20-2.24
4 F 0.8607 0.9164 0.1850  1 Np 2.20
5 F 0.9104 0.6666 0.5768  1 Np 2.23
6 F 0.2530 0.8475 0.1007  1 Np 2.24
7 F 0.7903 0.1877 0.9781  1 Np 2.24
8 F 0.2687 0.3248 0.1857  1 Np 2.20


Entry 2:
This record from the Alexandria database describes a relaxed structure of Y3Al3CoHg2. The functional is GGA-PBE.

**Energy relative to the elements**: -0.497 eV per atom
**Total moment**: 0.000 μB/atom

Cell: 4.1594 7.2941 7.2941 Å, 120.00 90.00 90.00°
With the nearest neighbours (Å) after each atom.
Positions (direct):
1 Y 0.0000 0.6151 0.6151  1 Co 2.81, 4 Hg 3.08
2 Y 0.0000 0.0000 0.3849  1 Co 2.81, 4 Hg 3.08
3 Y 0.0000 0.3849 0.0000  1 Co 2.81, 4 Hg 3.08
4 Hg 0.5000 0.6667 0.3333  3 Al 2.95, 6 Y 3.08
5 Hg 0.5000 0.3333 0.6667  3 Al 2.95, 6 Y 3.08
6 Co 0.0000 0.0000 0.0000  6 Al 2.61, 3 Y 2.81
7 Al 0.5000 0.2172 0.2172  2 Co 2.61, 2 Al 2.74
8 Al 0.5000 0.0000 0.7828  2 Co 2.61, 2 Al 2.74
9 Al 0.5000 0.7828 0.0000  2 Co 2.61, 2 Al 2.74


Entry 3:
This record from the Alexandria database describes a relaxed structure of KTe2Se2. The functional is GGA-PBE.

**Distance to the lowest polymorph of the same formula**: 109.8 meV/atom
**Total moment**: 0.000 μB/atom

Cell: 4.4607 4.4607 8.6208 Å, 75.01 75.01 90.00°
With the nearest neighbours (Å) after each atom.
Positions (direct):
1 K 0.0000 0.0000 0.0000  8 Se 3.36
2 Te 0.2500 0.7500 0.5000  4 Te 3.15
3 Te 0.7500 0.2500 0.5000  4 Te 3.15
4 Se 0.5730 0.5730 0.8541  1 Se 2.34
5 Se 0.4270 0.4270 0.1459  1 Se 2.34


Entry 4:
This record from the Alexandria database describes a relaxed structure of Th3Bi4Pd3. The functional is GGA-PBE.

**Energy relative to the elements**: -0.823 eV per atom
**Total moment**: 0.000 μB/atom

Cell: 8.7606 8.7606 8.7606 Å, 109.47 109.47 109.47°
With the nearest neighbours (Å) after each atom.
Positions (direct):
1 Bi 0.5000 0.3256 0.5000  3 Pd 2.85
2 Bi 0.1744 0.6744 0.6744  3 Pd 2.85
3 Bi 0.0000 0.0000 0.3256  3 Pd 2.85
4 Bi 0.3256 0.5000 0.0000  3 Pd 2.85
5 Bi 0.8256 0.5000 0.0000  3 Pd 2.85
6 Bi 0.5000 0.8256 0.5000  3 Pd 2.85
7 Bi 0.6744 0.1744 0.1744  3 Pd 2.85
8 Bi 0.0000 0.0000 0.8256  3 Pd 2.85
9 Pd 0.1250 0.7500 0.3750  4 Bi 2.85, 4 Th 3.10
10 Pd 0.6250 0.8750 0.2500  4 Bi 2.85, 4 Th 3.10
11 Pd 0.2500 0.3750 0.6250  4 Bi 2.85, 4 Th 3.10
12 Pd 0.7500 0.1250 0.8750  4 Bi 2.85, 4 Th 3.10
13 Pd 0.3750 0.2500 0.1250  4 Bi 2.85, 4 Th 3.10
14 Pd 0.8750 0.6250 0.7500  4 Bi 2.85, 4 Th 3.10
15 Th 0.6250 0.7500 0.8750  4 Pd 3.10, 4 Bi 3.46
16 Th 0.3750 0.1250 0.7500  4 Pd 3.10, 4 Bi 3.46
17 Th 0.2500 0.8750 0.1250  4 Pd 3.10, 4 Bi 3.46
18 Th 0.7500 0.6250 0.3750  4 Pd 3.10, 4 Bi 3.46
19 Th 0.1250 0.3750 0.2500  4 Pd 3.10, 4 Bi 3.46
20 Th 0.8750 0.2500 0.6250  4 Pd 3.10, 4 Bi 3.46


Entry 5:
This record from the Alexandria database describes a relaxed structure of Li2GaRh2O6. The functional is GGA-PBE.

**Calculated total energy**: -0.4410 Ry/atom
**Total moment**: 0.092 μB/atom

Cell: 5.1575 5.1575 5.2669 Å, 100.50 100.50 117.61°
With the nearest neighbours (Å) after each atom.
Positions (direct):
1 Ga 0.0000 0.0000 0.5000  6 O 1.98-2.04
2 O 0.4098 0.0660 0.7134  2 Rh 2.03-2.08, 1 Ga 2.04, 1 Li 2.14
3 O 0.9340 0.5902 0.2866  2 Rh 2.03-2.08, 1 Ga 2.04, 1 Li 2.14
4 O 0.0660 0.4098 0.7134  2 Rh 2.03-2.08, 1 Ga 2.04, 1 Li 2.14
5 O 0.7749 0.7749 0.7281  1 Ga 1.98, 2 Rh 2.08, 2 Li 2.16
6 O 0.2251 0.2251 0.2719  1 Ga 1.98, 2 Rh 2.08, 2 Li 2.16
7 O 0.5902 0.9340 0.2866  2 Rh 2.03-2.08, 1 Ga 2.04, 1 Li 2.14
8 Rh 0.6583 0.3417 0.5000  6 O 2.03-2.08
9 Rh 0.3417 0.6583 0.5000  6 O 2.03-2.08
10 Li 0.1749 0.8251 0.0000  6 O 2.14-2.29
11 Li 0.8251 0.1749 0.0000  6 O 2.14-2.29


Entry 6:
This record from the Alexandria database describes a relaxed structure of BMo3C. The functional is GGA-PBE.

**Distance to the lowest polymorph of the same formula**: 0.0 meV/atom
**Energy relative to the elements**: -0.049 eV per atom
**Total moment**: 0.000 μB/atom

Cell: 3.0353 5.5659 7.0665 Å, 90.00 90.00 90.00°
With the nearest neighbours (Å) after each atom.
Positions (direct):
1 B 0.7500 0.2500 0.1750  6 Mo 2.19-2.32
2 B 0.2500 0.7500 0.8250  6 Mo 2.19-2.32
3 C 0.2500 0.2500 0.5691  6 Mo 2.19
4 C 0.7500 0.7500 0.4309  6 Mo 2.19
5 Mo 0.7500 0.7500 0.0487  2 B 2.19
6 Mo 0.2500 0.2500 0.9513  2 B 2.19
7 Mo 0.7500 0.9970 0.6714  3 C 2.19, 2 B 2.32
8 Mo 0.2500 0.0030 0.3286  3 C 2.19, 2 B 2.32
9 Mo 0.7500 0.5030 0.6714  3 C 2.19, 2 B 2.32
10 Mo 0.2500 0.4970 0.3286  3 C 2.19, 2 B 2.32


Entry 7:
This record from the Alexandria database describes a relaxed structure of SrSn3Ir. The functional is GGA-PBE.

**Energy relative to the elements**: -0.331 eV per atom
**Total moment**: 0.000 μB/atom

Cell: 6.2349 6.8894 6.9087 Å, 119.91 89.99 90.00°
With the nearest neighbours (Å) after each atom.
Positions (direct):
1 Sn 0.2501 0.8137 0.6274  2 Ir 2.72, 2 Sn 3.04
2 Sn 0.7499 0.1863 0.3726  2 Ir 2.72, 2 Sn 3.04
3 Sn 0.2500 0.3736 0.1887  2 Ir 2.72, 2 Sn 3.04
4 Sn 0.7500 0.6264 0.8113  2 Ir 2.72, 2 Sn 3.04
5 Sn 0.2500 0.8151 0.1887  2 Ir 2.72, 2 Sn 3.04
6 Sn 0.7500 0.1849 0.8113  2 Ir 2.72, 2 Sn 3.04
7 Ir 0.5000 0.0000 0.0000  6 Sn 2.72
8 Ir 0.0000 0.0000 0.0000  6 Sn 2.72
9 Sr 0.7503 0.6647 0.3293  12 Sn 3.45-3.59
10 Sr 0.2497 0.3353 0.6707  12 Sn 3.45-3.59